An optimized crystal structure of K4V, computed with GGA-PBE.

Output
M_tot: 5.225 μB/cell
DFT formation energy: 3.72 eV/f.u.

Cell: 6.8313 6.8313 6.8313 Å, 90.00 90.00 90.00°
Last column: nearest neighbours and their distance in Å.
Sites, in units of the cell vectors:
K: 0.0000 0.0000 0.0000  12 K 4.83
K: 0.0000 0.5000 0.5000  2 V 3.42
K: 0.5000 0.0000 0.5000  2 V 3.42
K: 0.5000 0.5000 0.0000  2 V 3.42
V: 0.5000 0.5000 0.5000  6 K 3.42